# PBE with a Hubbard U Cr3ReF, relaxed
# Polymorph energy (0 for the lowest one): 244.3 meV/atom
# Total moment: 0.8893 μB/atom
# VASP energy: -6.03 eV/atom
data_Cr3ReF
_symmetry_space_group_name_H-M 'P m -3 m'
_symmetry_Int_Tables_number 221
_symmetry_space_group_name_Hall '-P 4 2 3'
_cell_length_a 4.1270
_cell_length_b 4.1270
_cell_length_c 4.1270
_cell_angle_alpha 90.00
_cell_angle_beta 90.00
_cell_angle_gamma 90.00
loop_
_atom_site_label
_atom_site_fract_x
_atom_site_fract_y
_atom_site_fract_z
Cr1 0.0000 0.0000 0.5000
Re1 0.5000 0.5000 0.5000
F1 0.0000 0.0000 0.0000